Entry from the Alexandria database: crystalline CuWCl2 at its relaxed geometry (PBE).

Computed properties:
Space group: I4/mmm, No. 139
Fermi-level density of states, states/eV/f.u.: 2.55
Formation energy (no corrections), eV/atom: 0.915
Final energy, eV/cell: -17.08

Geometry as CIF:
```
data_CuWCl2
_cell_length_a 4.5943
_cell_length_b 4.5943
_cell_length_c 4.5943
_cell_angle_alpha 126.53
_cell_angle_beta 126.53
_cell_angle_gamma 79.02
_symmetry_space_group_name_H-M 'P 1'
_symmetry_Int_Tables_number 1
loop_
_symmetry_equiv_pos_as_xyz
'x,y,z'
loop_
_atom_site_label
_atom_site_type_symbol
_atom_site_fract_x
_atom_site_fract_y
_atom_site_fract_z
Cu1 Cu 0.0000 0.0000 0.0000
W1 W 0.5000 0.5000 0.0000
Cl1 Cl 0.2500 0.7500 0.5000
Cl2 Cl 0.7500 0.2500 0.5000
```


Entry from the Alexandria database: crystalline CuWCl2 at its relaxed geometry (PBE).

Computed properties:
Space group: C2/m, No. 12
Fermi-level density of states, states/eV/f.u.: 2.40
Formation energy (no corrections), eV/atom: 0.074
Final energy, eV/cell: -20.45

Geometry as CIF:
```
data_CuWCl2
_cell_length_a 7.5419
_cell_length_b 7.5419
_cell_length_c 4.5621
_cell_angle_alpha 107.28
_cell_angle_beta 107.28
_cell_angle_gamma 22.18
_symmetry_space_group_name_H-M 'P 1'
_symmetry_Int_Tables_number 1
loop_
_symmetry_equiv_pos_as_xyz
'x,y,z'
loop_
_atom_site_label
_atom_site_type_symbol
_atom_site_fract_x
_atom_site_fract_y
_atom_site_fract_z
Cu1 Cu 0.0000 0.0000 0.0000
W1 W 0.5000 0.5000 0.5000
Cl1 Cl 0.1405 0.1405 0.6375
Cl2 Cl 0.8595 0.8595 0.3625
```


Entry from the Alexandria database: crystalline Cu2WCl at its relaxed geometry (PBE).

Computed properties:
Space group: I-42d, No. 122
Fermi-level density of states, states/eV/f.u.: 3.20
Formation energy (no corrections), eV/atom: 0.926
Final energy, eV/cell: -38.57

Geometry as CIF:
```
data_Cu2WCl
_cell_length_a 5.5550
_cell_length_b 5.5550
_cell_length_c 5.5550
_cell_angle_alpha 100.83
_cell_angle_beta 100.83
_cell_angle_gamma 128.64
_symmetry_space_group_name_H-M 'P 1'
_symmetry_Int_Tables_number 1
loop_
_symmetry_equiv_pos_as_xyz
'x,y,z'
loop_
_atom_site_label
_atom_site_type_symbol
_atom_site_fract_x
_atom_site_fract_y
_atom_site_fract_z
Cu1 Cu 0.1124 0.6250 0.9874
Cu2 Cu 0.3750 0.3624 0.4874
Cu3 Cu 0.6376 0.1250 0.0126
Cu4 Cu 0.8750 0.8876 0.5126
W1 W 0.2500 0.7500 0.5000
W2 W 0.5000 0.5000 0.0000
Cl1 Cl 0.0000 0.0000 0.0000
Cl2 Cl 0.7500 0.2500 0.5000
```


- Which value of Fermi-level density of states does entry 2 give?
  2.40 states/eV/f.u.